{"formula": "Co2AgMo", "functional": "PBE-GGA", "state": "optimized geometry", "e_above_lowest_polymorph_mev_per_atom": 8, "delta_e_f_kj_per_mol_atoms": 28, "dos_ef_per_ev_cell": 6.08, "spacegroup": "P4/mmm (123)", "total_magnetization_mub_per_fu": 0.00, "lattice_angstrom": [[-2.0557, 1.4675, -1.0361], [-1.5550, -0.6651, 2.1430], [2.4125, 5.9107, 3.5849]], "species": ["Ag", "Co", "Co", "Mo"], "fractional_positions": [[0.5000, 0.5000, 0.7500], [0.0000, 0.0000, 0.0184], [0.0000, 0.0000, 0.4816], [0.5000, 0.5000, 0.2500]]}